## LaNbH4 (PBE-GGA)

Data for a relaxed structure of LaNbH4.

Cell: 3.3600 3.3600 5.5339 Å, 90.00 90.00 90.00°
With the nearest neighbours (Å) after each atom.
Fractional coordinates of all 6 atoms:
La 0.0000 0.0000 0.0000  8 H 2.40
Nb 0.5000 0.5000 0.5000  8 H 1.99
H 0.0000 0.5000 0.3089  2 Nb 1.99, 1 H 2.11
H 0.0000 0.5000 0.6911  2 Nb 1.99, 1 H 2.11
H 0.5000 0.0000 0.3089  2 Nb 1.99, 1 H 2.11
H 0.5000 0.0000 0.6911  2 Nb 1.99, 1 H 2.11

calculated volume: 62.5 Å³/f.u.
M_tot: 0.08 μB/f.u.
total DFT energy (no corrections): -30.539 eV per formula unit
symmetry: P4/mmm, No. 123